Record 1
Sc2InSe2 | PBE | optimized geometry

The structure belongs to space group P4/mbm (No. 127); the cell edges are 7.7925, 7.7925 and 3.5380 Å and the angles 90.00°, 90.00° and 90.00°. The asymmetric unit holds Sc at (0.1519, 0.3481, 0.0000), In at (0.0000, 0.0000, 0.0000) and Se at (0.1442, 0.6442, 0.5000).

The energy above the most stable polymorph in this dataset is 0.004 eV per atom. The energy relative to the elements, uncorrected comes out at -0.940 eV/atom. The calculated density is 5.606 Mg/m³.

Record 2
CoRuPt2 | PBE | optimized geometry

The structure belongs to space group I4/mmm (No. 139); the cell edges are 3.8205, 3.8205 and 7.7373 Å and the angles 90.00°, 90.00° and 90.00°. The asymmetric unit holds Co at (0.0000, 0.0000, 0.0000), Ru at (0.0000, 0.0000, 0.5000) and Pt at (0.0000, 0.5000, 0.2500).

As for the formation energy: 26 meV per atom. The energy above the most stable polymorph in this dataset is 0.023 eV per atom. The calculated density is 16.179 Mg/m³.

Record 3
CsIr2Cl8 | PBE | optimized geometry

The structure belongs to space group C2/m (No. 12); the cell edges are 18.0009, 4.9259 and 7.4874 Å and the angles 90.00°, 104.51° and 90.00°. The asymmetric unit holds Cs at (0.0000, 0.0000, 0.0000), Ir at (0.1915, 0.5000, 0.5918), Cl at (0.0902, 0.5000, 0.7262), Cl at (0.1074, 0.5000, 0.2990), Cl at (0.2019, 0.0000, 0.5530) and Cl at (0.2227, 0.0000, 0.1271).

The energy relative to the elements, uncorrected comes out at -0.582 eV/atom. The calculated density is 4.139 Mg/m³.

Record 4
VIn2AuBr | PBE | optimized geometry

The structure belongs to space group P4/mmm (No. 123); the cell edges are 5.7690, 5.7690 and 4.5606 Å and the angles 90.00°, 90.00° and 90.00°. The asymmetric unit holds V at (0.0000, 0.0000, 0.0000), In at (0.0000, 0.5000, 0.5000), Au at (0.5000, 0.5000, 0.0000) and Br at (0.0000, 0.0000, 0.5000).

The energy relative to the elements, uncorrected comes out at 0.931 eV/atom. The calculated density is 6.098 Mg/m³.

Record 5
KAlSnBr2 | PBE | optimized geometry

The structure belongs to space group P4/mmm (No. 123); the cell edges are 5.7477, 5.7477 and 6.2297 Å and the angles 90.00°, 90.00° and 90.00°. The asymmetric unit holds K at (0.0000, 0.0000, 0.0000), Al at (0.0000, 0.0000, 0.5000), Sn at (0.5000, 0.5000, 0.5000) and Br at (0.0000, 0.5000, 0.0000).

The energy relative to the elements, uncorrected comes out at 0.184 eV/atom. The calculated density is 2.780 Mg/m³.

Record 6
HgSNO2 | PBE | optimized geometry

The structure belongs to space group P4/mmm (No. 123); the cell edges are 4.2282, 4.2282 and 4.3877 Å and the angles 90.00°, 90.00° and 90.00°. The asymmetric unit holds Hg at (0.0000, 0.0000, 0.0000), S at (0.5000, 0.5000, 0.5000), N at (0.0000, 0.0000, 0.5000) and O at (0.0000, 0.5000, 0.0000).

The energy relative to the elements, uncorrected comes out at 1.768 eV/atom. The calculated density is 5.899 Mg/m³.

Record 7
HoErNiPt | PBE | optimized geometry

The structure belongs to space group F-43m (No. 216); the cell edges are 6.8476, 6.8476 and 6.8476 Å and the angles 90.00°, 90.00° and 90.00°. The asymmetric unit holds Ho at (0.0000, 0.0000, 0.0000), Er at (0.0000, 0.0000, 0.5000), Ni at (0.2500, 0.2500, 0.2500) and Pt at (0.2500, 0.2500, 0.7500).

As for the formation energy: -844 meV per atom. The energy above the most stable polymorph in this dataset is 0.054 eV per atom. The calculated density is 12.122 Mg/m³.

Record 8
AcDyHg2 | PBE | optimized geometry

The structure belongs to space group P4/mmm (No. 123); the cell edges are 3.8309, 3.8309 and 7.9626 Å and the angles 90.00°, 90.00° and 90.00°. The asymmetric unit holds Ac at (0.0000, 0.0000, 0.0000), Dy at (0.0000, 0.0000, 0.5000) and Hg at (0.5000, 0.5000, 0.2843).

As for the formation energy: -460 meV per atom. The calculated density is 11.236 Mg/m³.

Record 9
MnHg2Ir | PBE | optimized geometry

The structure belongs to space group P4/mmm (No. 123); the cell edges are 4.1334, 4.1334 and 4.1477 Å and the angles 90.00°, 90.00° and 90.00°. The asymmetric unit holds Mn at (0.0000, 0.0000, 0.0000), Hg at (0.0000, 0.5000, 0.5000) and Ir at (0.5000, 0.5000, 0.0000).

As for the formation energy: 359 meV per atom. The energy above the most stable polymorph in this dataset is 0.146 eV per atom. The calculated density is 15.192 Mg/m³.

Record 10
Ho8Cd2Ir | PBE | optimized geometry

The structure belongs to space group C2/m (No. 12); the cell edges are 17.6129, 5.2711 and 6.9142 Å and the angles 90.00°, 110.03° and 90.00°. The asymmetric unit holds Ho at (0.0200, 0.0000, 0.2865), Ho at (0.0916, 0.5000, 0.9240), Ho at (0.1520, 0.5000, 0.4543), Ho at (0.1989, 0.0000, 0.7927), Cd at (0.1809, 0.0000, 0.2080) and Ir at (0.0000, 0.5000, 0.5000).

As for the formation energy: -280 meV per atom. The calculated density is 9.563 Mg/m³.

Record 11
Fe2IrOs | PBE | optimized geometry

The structure belongs to space group Cmmm (No. 65); the cell edges are 5.2675, 7.2363 and 2.6280 Å and the angles 90.00°, 90.00° and 90.00°. The asymmetric unit holds Fe at (0.2500, 0.2500, 0.0000), Ir at (0.0000, 0.0000, 0.5000) and Os at (0.0000, 0.5000, 0.5000).

As for the formation energy: 89 meV per atom. The calculated density is 16.383 Mg/m³.

Record 12
Pr2SmDy3Tm6 | PBE | optimized geometry

The structure belongs to space group C2/m (No. 12); the cell edges are 6.1623, 10.6663 and 11.6912 Å and the angles 90.00°, 100.09° and 90.00°. The asymmetric unit holds Pr at (0.0000, 0.1667, 0.0000), Sm at (0.0000, 0.5000, 0.0000), Dy at (0.0000, 0.0000, 0.5000), Dy at (0.0000, 0.3334, 0.5000), Tm at (0.2484, 0.1665, 0.7463) and Tm at (0.2479, 0.5000, 0.7463).

As for the formation energy: 23 meV per atom. The calculated density is 8.486 Mg/m³.